# AcPm3Th2N6 PBE optimized geometry
# Total DFT energy (no corrections), eV per atom: -8.367
# N(E_F), states/eV per cell: 2.8
# Space-group type: C2/m (12)
data_AcPm3Th2N6
_cell_length_a 8.220
_cell_length_b 8.220
_cell_length_c 7.368
_cell_angle_alpha 102.49
_cell_angle_beta 102.49
_cell_angle_gamma 25.89
_symmetry_space_group_name_H-M 'P 1'
_symmetry_Int_Tables_number 1
_symmetry_space_group_name_Hall 'P 1'
loop_
_atom_site_label
_atom_site_fract_x
_atom_site_fract_y
_atom_site_fract_z
Ac1 0.000 0.000 0.000
Pm1 0.000 0.000 0.500
Pm2 0.332 0.332 0.165
Pm3 0.668 0.668 0.835
Th1 0.333 0.333 0.665
Th2 0.667 0.667 0.335
N1 0.170 0.170 0.578
N2 0.173 0.173 0.098
N3 0.492 0.492 0.731
N4 0.508 0.508 0.269
N5 0.827 0.827 0.902
N6 0.830 0.830 0.422